Compound: Nd2Fe20Mo4N
Source: the Alexandria database
Functional: PBE-GGA
Structure: optimized geometry

Calculated values
M_tot	78.1	μB/cell
E	-8.56	eV/atom
uncorrected formation energy	-0.02	eV/atom
Fermi-level density of states	0.889	states/eV/atom

abc: 12.230 4.799 12.238
angles: 90.00 90.08 90.00
Space group C2/m (No. 12)
Unique sites:
Nd 0.000 0.000 0.000
Nd 0.000 0.500 0.500
Fe 0.001 0.250 0.254
Fe 0.110 0.500 0.111
Fe 0.110 0.500 0.888
Fe 0.111 0.000 0.610
Fe 0.118 0.000 0.384
Fe 0.179 0.500 0.680
Fe 0.181 0.000 0.180
Fe 0.250 0.250 0.000
Fe 0.250 0.250 0.500
Mo 0.178 0.000 0.820
Mo 0.181 0.500 0.320
N 0.000 0.500 0.000